{"formula": "Pr3Y4Tm3", "functional": "PBE", "state": "optimized geometry", "formation_enthalpy_0k_mev_per_atom": 118, "spacegroup": "No. 38", "cell": [[3.702, 0.000, 0.000], [0.000, 6.674, 6.730], [0.000, -6.674, 6.730]], "species": ["Pr", "Pr", "Pr", "Y", "Y", "Y", "Y", "Tm", "Tm", "Tm"], "frac_coords": [[0.000, 0.000, 0.000], [0.000, 0.498, 0.846], [0.000, 0.846, 0.498], [0.500, 0.052, 0.302], [0.500, 0.302, 0.052], [0.500, 0.545, 0.545], [0.500, 0.799, 0.799], [0.000, 0.347, 0.347], [0.500, 0.176, 0.665], [0.500, 0.665, 0.176]]}

{"formula": "Pr2Y3Tm8", "functional": "PBE", "state": "optimized geometry", "formation_enthalpy_0k_mev_per_atom": 252, "spacegroup": "No. 65", "cell": [[3.783, -10.427, 0.000], [3.783, 10.427, 0.000], [0.000, 0.000, 5.487]], "species": ["Pr", "Pr", "Y", "Y", "Y", "Tm", "Tm", "Tm", "Tm", "Tm", "Tm", "Tm", "Tm"], "frac_coords": [[0.240, 0.760, 0.000], [0.760, 0.240, 0.000], [0.000, 0.000, 0.000], [0.287, 0.287, 0.500], [0.713, 0.713, 0.500], [0.128, 0.872, 0.500], [0.178, 0.394, 0.000], [0.340, 0.660, 0.500], [0.394, 0.178, 0.000], [0.606, 0.822, 0.000], [0.660, 0.340, 0.500], [0.822, 0.606, 0.000], [0.872, 0.128, 0.500]]}

{"formula": "PrY2Tm", "functional": "PBE", "state": "optimized geometry", "formation_enthalpy_0k_mev_per_atom": 22, "spacegroup": "No. 1", "cell": [[3.591, 0.000, 0.000], [0.001, 6.189, 0.000], [1.787, 1.046, 11.716]], "species": ["Pr", "Pr", "Y", "Y", "Y", "Y", "Tm", "Tm"], "frac_coords": [[0.000, 0.000, 0.000], [0.248, 0.749, 0.502], [0.123, 0.374, 0.751], [0.373, 0.125, 0.252], [0.623, 0.874, 0.751], [0.874, 0.623, 0.250], [0.499, 0.498, 0.001], [0.749, 0.250, 0.501]]}

{"formula": "Pr3Y4Tm2", "functional": "PBE", "state": "optimized geometry", "formation_enthalpy_0k_mev_per_atom": 24, "spacegroup": "No. 12", "cell": [[7.645, -2.547, 0.000], [7.645, 2.547, 0.000], [-2.538, 0.000, 7.640]], "species": ["Pr", "Pr", "Pr", "Y", "Y", "Y", "Y", "Tm", "Tm"], "frac_coords": [[0.000, 0.000, 0.000], [0.110, 0.110, 0.664], [0.890, 0.890, 0.336], [0.221, 0.221, 0.334], [0.333, 0.333, 0.999], [0.667, 0.667, 0.001], [0.779, 0.779, 0.666], [0.444, 0.444, 0.666], [0.556, 0.556, 0.334]]}

{"formula": "Pr3Y4Tm2", "functional": "PBE", "state": "optimized geometry", "formation_enthalpy_0k_mev_per_atom": 99, "spacegroup": "No. 15", "cell": [[8.372, -5.885, 0.000], [8.372, 5.885, 0.000], [-0.821, 0.000, 6.023]], "species": ["Pr", "Pr", "Pr", "Pr", "Pr", "Pr", "Y", "Y", "Y", "Y", "Y", "Y", "Y", "Y", "Tm", "Tm", "Tm", "Tm"], "frac_coords": [[0.104, 0.896, 0.750], [0.221, 0.444, 0.918], [0.444, 0.221, 0.418], [0.556, 0.779, 0.582], [0.779, 0.556, 0.082], [0.896, 0.104, 0.250], [0.090, 0.341, 0.360], [0.317, 0.581, 0.479], [0.341, 0.090, 0.860], [0.419, 0.683, 0.021], [0.581, 0.317, 0.979], [0.659, 0.910, 0.140], [0.683, 0.419, 0.521], [0.910, 0.659, 0.640], [0.021, 0.752, 0.185], [0.248, 0.979, 0.315], [0.752, 0.021, 0.685], [0.979, 0.248, 0.815]]}

{"formula": "Pr2Y3Tm6", "functional": "PBE", "state": "optimized geometry", "formation_enthalpy_0k_mev_per_atom": 191, "spacegroup": "No. 12", "cell": [[3.045, -5.279, 0.000], [3.045, 5.279, 0.000], [-2.039, 0.000, 11.494]], "species": ["Pr", "Pr", "Y", "Y", "Y", "Tm", "Tm", "Tm", "Tm", "Tm", "Tm"], "frac_coords": [[0.167, 0.833, 0.000], [0.833, 0.167, 0.000], [0.000, 0.000, 0.500], [0.335, 0.665, 0.500], [0.665, 0.335, 0.500], [0.082, 0.416, 0.747], [0.251, 0.251, 0.253], [0.416, 0.082, 0.747], [0.584, 0.918, 0.253], [0.749, 0.749, 0.747], [0.918, 0.584, 0.253]]}

{"formula": "PrY2Tm", "functional": "PBE", "state": "optimized geometry", "formation_enthalpy_0k_mev_per_atom": 23, "spacegroup": "No. 160", "cell": [[1.804, 1.041, 11.614], [-1.804, 1.041, 11.614], [0.000, -2.083, 11.614]], "species": ["Pr", "Y", "Y", "Tm"], "frac_coords": [[0.000, 0.000, 0.000], [0.248, 0.248, 0.248], [0.420, 0.420, 0.420], [0.834, 0.834, 0.834]]}

{"formula": "PrY2Tm", "functional": "PBE", "state": "optimized geometry", "formation_enthalpy_0k_mev_per_atom": 26, "spacegroup": "No. 123", "cell": [[5.062, 0.000, 0.000], [0.000, 5.062, 0.000], [0.000, 0.000, 5.096]], "species": ["Pr", "Y", "Y", "Tm"], "frac_coords": [[0.000, 0.000, 0.000], [0.000, 0.500, 0.500], [0.500, 0.000, 0.500], [0.500, 0.500, 0.000]]}

{"formula": "Pr3YTm", "functional": "PBE", "state": "optimized geometry", "formation_enthalpy_0k_mev_per_atom": 77, "spacegroup": "No. 2", "cell": [[3.713, 0.000, 0.000], [1.852, 11.244, 0.000], [1.835, 2.512, 16.605]], "species": ["Pr", "Pr", "Pr", "Pr", "Pr", "Pr", "Pr", "Pr", "Pr", "Pr", "Pr", "Pr", "Y", "Y", "Y", "Y", "Tm", "Tm", "Tm", "Tm"], "frac_coords": [[0.065, 0.350, 0.021], [0.134, 0.777, 0.455], [0.137, 0.955, 0.270], [0.324, 0.446, 0.403], [0.366, 0.889, 0.883], [0.413, 0.513, 0.163], [0.587, 0.487, 0.837], [0.634, 0.111, 0.117], [0.676, 0.554, 0.597], [0.863, 0.045, 0.730], [0.866, 0.223, 0.545], [0.935, 0.650, 0.979], [0.236, 0.309, 0.721], [0.279, 0.839, 0.095], [0.721, 0.161, 0.905], [0.764, 0.691, 0.279], [0.020, 0.728, 0.733], [0.492, 0.920, 0.593], [0.508, 0.080, 0.407], [0.980, 0.272, 0.267]]}

{"formula": "Pr4YTm10", "functional": "PBE", "state": "optimized geometry", "formation_enthalpy_0k_mev_per_atom": 282, "spacegroup": "No. 139", "cell": [[-5.607, 5.607, 3.988], [5.607, -5.607, 3.988], [5.607, 5.607, -3.988]], "species": ["Pr", "Pr", "Pr", "Pr", "Y", "Tm", "Tm", "Tm", "Tm", "Tm", "Tm", "Tm", "Tm", "Tm", "Tm"], "frac_coords": [[0.226, 0.226, 0.453], [0.226, 0.774, 0.000], [0.774, 0.226, 0.000], [0.774, 0.774, 0.547], [0.000, 0.000, 0.000], [0.088, 0.296, 0.792], [0.250, 0.750, 0.500], [0.296, 0.088, 0.792], [0.296, 0.504, 0.208], [0.496, 0.704, 0.792], [0.504, 0.296, 0.208], [0.704, 0.496, 0.792], [0.704, 0.912, 0.208], [0.750, 0.250, 0.500], [0.912, 0.704, 0.208]]}

{"formula": "PrY2Tm5", "functional": "PBE", "state": "optimized geometry", "formation_enthalpy_0k_mev_per_atom": 117, "spacegroup": "No. 2", "cell": [[6.435, 0.000, 0.000], [-2.591, 8.939, 0.000], [-2.237, -3.851, 8.813]], "species": ["Pr", "Pr", "Y", "Y", "Y", "Y", "Tm", "Tm", "Tm", "Tm", "Tm", "Tm", "Tm", "Tm", "Tm", "Tm"], "frac_coords": [[0.207, 0.432, 0.465], [0.793, 0.568, 0.535], [0.246, 0.933, 0.802], [0.400, 0.290, 0.162], [0.600, 0.710, 0.838], [0.754, 0.067, 0.198], [0.002, 0.839, 0.402], [0.043, 0.512, 0.839], [0.140, 0.879, 0.112], [0.487, 0.170, 0.480], [0.498, 0.663, 0.154], [0.502, 0.337, 0.846], [0.513, 0.830, 0.520], [0.860, 0.121, 0.888], [0.957, 0.488, 0.161], [0.998, 0.161, 0.598]]}

{"formula": "PrY5Tm", "functional": "PBE", "state": "optimized geometry", "formation_enthalpy_0k_mev_per_atom": 110, "spacegroup": "No. 15", "cell": [[4.393, -4.836, 0.000], [4.393, 4.836, 0.000], [-4.126, 0.000, 10.869]], "species": ["Pr", "Pr", "Y", "Y", "Y", "Y", "Y", "Y", "Y", "Y", "Y", "Y", "Tm", "Tm"], "frac_coords": [[0.244, 0.756, 0.750], [0.756, 0.244, 0.250], [0.051, 0.190, 0.662], [0.190, 0.051, 0.162], [0.231, 0.429, 0.464], [0.407, 0.593, 0.250], [0.429, 0.231, 0.964], [0.571, 0.769, 0.036], [0.593, 0.407, 0.750], [0.769, 0.571, 0.536], [0.810, 0.949, 0.838], [0.949, 0.810, 0.338], [0.000, 0.500, 0.000], [0.500, 0.000, 0.500]]}

{"formula": "PrYTm14", "functional": "PBE", "state": "optimized geometry", "formation_enthalpy_0k_mev_per_atom": 13, "spacegroup": "No. 38", "cell": [[11.330, 0.000, 0.000], [0.000, 3.530, 6.106], [0.000, -3.530, 6.106]], "species": ["Pr", "Y", "Tm", "Tm", "Tm", "Tm", "Tm", "Tm", "Tm", "Tm", "Tm", "Tm", "Tm", "Tm", "Tm", "Tm"], "frac_coords": [[0.000, 0.000, 0.000], [0.000, 0.500, 0.500], [0.000, 0.000, 0.501], [0.000, 0.501, 0.000], [0.251, 0.668, 0.668], [0.252, 0.168, 0.168], [0.254, 0.167, 0.666], [0.254, 0.666, 0.167], [0.500, 0.334, 0.334], [0.500, 0.334, 0.834], [0.500, 0.834, 0.334], [0.500, 0.834, 0.834], [0.746, 0.167, 0.666], [0.746, 0.666, 0.167], [0.748, 0.168, 0.168], [0.749, 0.668, 0.668]]}

{"formula": "Pr3Y2Tm5", "functional": "PBE", "state": "optimized geometry", "formation_enthalpy_0k_mev_per_atom": 194, "spacegroup": "No. 15", "cell": [[5.329, -7.949, 0.000], [5.329, 7.949, 0.000], [-5.315, 0.000, 7.807]], "species": ["Pr", "Pr", "Pr", "Pr", "Pr", "Pr", "Y", "Y", "Y", "Y", "Tm", "Tm", "Tm", "Tm", "Tm", "Tm", "Tm", "Tm", "Tm", "Tm"], "frac_coords": [[0.024, 0.271, 0.047], [0.234, 0.766, 0.750], [0.271, 0.024, 0.547], [0.729, 0.976, 0.453], [0.766, 0.234, 0.250], [0.976, 0.729, 0.953], [0.234, 0.468, 0.452], [0.468, 0.234, 0.952], [0.532, 0.766, 0.048], [0.766, 0.532, 0.548], [0.026, 0.974, 0.750], [0.144, 0.368, 0.762], [0.271, 0.729, 0.250], [0.368, 0.144, 0.262], [0.472, 0.528, 0.250], [0.528, 0.472, 0.750], [0.632, 0.856, 0.738], [0.729, 0.271, 0.750], [0.856, 0.632, 0.238], [0.974, 0.026, 0.250]]}

{"formula": "Pr6Y4Tm", "functional": "PBE", "state": "optimized geometry", "formation_enthalpy_0k_mev_per_atom": 269, "spacegroup": "No. 121", "cell": [[-3.319, 3.319, 8.801], [3.319, -3.319, 8.801], [3.319, 3.319, -8.801]], "species": ["Pr", "Pr", "Pr", "Pr", "Pr", "Pr", "Y", "Y", "Y", "Y", "Tm"], "frac_coords": [[0.000, 0.500, 0.500], [0.189, 0.189, 0.644], [0.455, 0.811, 0.000], [0.500, 0.000, 0.500], [0.545, 0.545, 0.356], [0.811, 0.455, 0.000], [0.009, 0.640, 0.000], [0.360, 0.360, 0.369], [0.640, 0.009, 0.000], [0.991, 0.991, 0.631], [0.000, 0.000, 0.000]]}

{"formula": "Pr3Y2Tm", "functional": "PBE", "state": "optimized geometry", "formation_enthalpy_0k_mev_per_atom": 10, "spacegroup": "No. 15", "cell": [[9.042, -3.648, 0.000], [9.042, 3.648, 0.000], [-1.485, 0.000, 6.170]], "species": ["Pr", "Pr", "Pr", "Pr", "Pr", "Pr", "Y", "Y", "Y", "Y", "Tm", "Tm"], "frac_coords": [[0.041, 0.292, 0.023], [0.128, 0.872, 0.750], [0.292, 0.041, 0.523], [0.708, 0.959, 0.477], [0.872, 0.128, 0.250], [0.959, 0.708, 0.977], [0.212, 0.457, 0.471], [0.457, 0.212, 0.971], [0.543, 0.788, 0.029], [0.788, 0.543, 0.529], [0.379, 0.621, 0.250], [0.621, 0.379, 0.750]]}

{"formula": "Pr5Y12Tm2", "functional": "PBE", "state": "optimized geometry", "formation_enthalpy_0k_mev_per_atom": 206, "spacegroup": "No. 12", "cell": [[8.954, -4.590, 0.000], [8.954, 4.590, 0.000], [-3.812, 0.000, 7.872]], "species": ["Pr", "Pr", "Pr", "Pr", "Pr", "Y", "Y", "Y", "Y", "Y", "Y", "Y", "Y", "Y", "Y", "Y", "Y", "Tm", "Tm"], "frac_coords": [[0.000, 0.000, 0.000], [0.237, 0.237, 0.794], [0.289, 0.289, 0.277], [0.711, 0.711, 0.723], [0.763, 0.763, 0.206], [0.040, 0.670, 0.592], [0.045, 0.045, 0.681], [0.150, 0.596, 0.045], [0.330, 0.960, 0.408], [0.404, 0.850, 0.955], [0.440, 0.440, 0.782], [0.560, 0.560, 0.218], [0.596, 0.150, 0.045], [0.670, 0.040, 0.592], [0.850, 0.404, 0.955], [0.955, 0.955, 0.319], [0.960, 0.330, 0.408], [0.328, 0.672, 0.500], [0.672, 0.328, 0.500]]}

{"formula": "Pr4YTm6", "functional": "PBE", "state": "optimized geometry", "formation_enthalpy_0k_mev_per_atom": 297, "spacegroup": "No. 121", "cell": [[-3.333, 3.333, 8.484], [3.333, -3.333, 8.484], [3.333, 3.333, -8.484]], "species": ["Pr", "Pr", "Pr", "Pr", "Y", "Tm", "Tm", "Tm", "Tm", "Tm", "Tm"], "frac_coords": [[0.014, 0.634, 0.000], [0.366, 0.366, 0.380], [0.634, 0.014, 0.000], [0.986, 0.986, 0.620], [0.000, 0.000, 0.000], [0.000, 0.500, 0.500], [0.200, 0.200, 0.645], [0.445, 0.800, 0.000], [0.500, 0.000, 0.500], [0.555, 0.555, 0.355], [0.800, 0.445, 0.000]]}

{"formula": "Pr4Y4Tm5", "functional": "PBE", "state": "optimized geometry", "formation_enthalpy_0k_mev_per_atom": 26, "spacegroup": "No. 87", "cell": [[-6.471, 6.471, 2.528], [6.471, -6.471, 2.528], [6.471, 6.471, -2.528]], "species": ["Pr", "Pr", "Pr", "Pr", "Y", "Y", "Y", "Y", "Tm", "Tm", "Tm", "Tm", "Tm"], "frac_coords": [[0.079, 0.618, 0.696], [0.382, 0.079, 0.461], [0.618, 0.921, 0.539], [0.921, 0.382, 0.304], [0.152, 0.228, 0.380], [0.228, 0.848, 0.075], [0.772, 0.152, 0.925], [0.848, 0.772, 0.620], [0.000, 0.000, 0.000], [0.312, 0.462, 0.774], [0.462, 0.688, 0.150], [0.538, 0.312, 0.850], [0.688, 0.538, 0.226]]}

{"formula": "Pr2Y3Tm3", "functional": "PBE", "state": "optimized geometry", "formation_enthalpy_0k_mev_per_atom": 119, "spacegroup": "No. 63", "cell": [[1.802, -8.753, 0.000], [1.802, 8.753, 0.000], [0.000, 0.000, 16.828]], "species": ["Pr", "Pr", "Pr", "Pr", "Y", "Y", "Y", "Y", "Y", "Y", "Tm", "Tm", "Tm", "Tm", "Tm", "Tm"], "frac_coords": [[0.213, 0.787, 0.649], [0.213, 0.787, 0.851], [0.787, 0.213, 0.149], [0.787, 0.213, 0.351], [0.358, 0.642, 0.517], [0.358, 0.642, 0.983], [0.390, 0.610, 0.750], [0.610, 0.390, 0.250], [0.642, 0.358, 0.017], [0.642, 0.358, 0.483], [0.007, 0.993, 0.601], [0.007, 0.993, 0.899], [0.424, 0.576, 0.250], [0.576, 0.424, 0.750], [0.993, 0.007, 0.101], [0.993, 0.007, 0.399]]}